A.
VASP calculation (PBE) on a relaxed structure of Cd2MoAu. Values from VASP.

Structure (Quantum ESPRESSO input):
```
&SYSTEM
  ibrav = 0, nat = 4, ntyp = 3
/
ATOMIC_SPECIES
Au 196.97 Au.upf
Cd 112.41 Cd.upf
Mo 95.94 Mo.upf
ATOMIC_POSITIONS crystal
Au 0.500 0.500 0.750
Cd 0.000 0.000 0.003
Cd 0.000 0.000 0.497
Mo 0.500 0.500 0.250
CELL_PARAMETERS angstrom
2.862 0.000 0.000
0.000 2.862 0.000
0.000 0.000 8.987
```



B.
VASP calculation (PBE) on a relaxed structure of Cd2MoAu. Values from VASP.

Structure (Quantum ESPRESSO input):
```
&SYSTEM
  ibrav = 0, nat = 4, ntyp = 3
/
ATOMIC_SPECIES
Au 196.97 Au.upf
Cd 112.41 Cd.upf
Mo 95.94 Mo.upf
ATOMIC_POSITIONS crystal
Au 0.246 0.246 0.269
Cd 0.997 0.997 0.998
Cd 0.754 0.754 0.743
Mo 0.503 0.503 0.490
CELL_PARAMETERS angstrom
5.199 0.012 0.005
4.428 2.724 0.005
0.944 0.268 5.319
```



Result of the stability comparison: B is the least stable of them.



A.
VASP calculation (PBE) on a relaxed structure of Cd2MoAu. Values from VASP.

Structure (Quantum ESPRESSO input):
```
&SYSTEM
  ibrav = 0, nat = 4, ntyp = 3
/
ATOMIC_SPECIES
Au 196.97 Au.upf
Cd 112.41 Cd.upf
Mo 95.94 Mo.upf
ATOMIC_POSITIONS crystal
Au 0.500 0.500 0.736
Cd 0.000 0.000 0.988
Cd 0.500 0.500 0.266
Mo 0.000 0.000 0.511
CELL_PARAMETERS angstrom
-2.047 0.561 1.951
1.205 -1.894 1.809
5.086 6.540 3.457
```



B.
VASP calculation (PBE) on a relaxed structure of Cd2MoAu. Values from VASP.

Structure (Quantum ESPRESSO input):
```
&SYSTEM
  ibrav = 0, nat = 8, ntyp = 3
/
ATOMIC_SPECIES
Mo 95.94 Mo.upf
Au 196.97 Au.upf
Cd 112.41 Cd.upf
ATOMIC_POSITIONS crystal
Mo 0.500 0.500 0.000
Mo 0.250 0.750 0.500
Au 0.000 0.000 0.000
Au 0.750 0.250 0.500
Cd 0.635 0.125 0.250
Cd 0.115 0.625 0.250
Cd 0.375 0.365 0.750
Cd 0.875 0.885 0.750
CELL_PARAMETERS angstrom
-0.908 2.731 7.173
4.712 -5.503 2.692
4.137 0.344 4.557
```



Result of the stability comparison: B is the least stable of them.



A.
VASP calculation (PBE) on a relaxed structure of CdMo2Au2. Values from VASP.

Structure (Quantum ESPRESSO input):
```
&SYSTEM
  ibrav = 0, nat = 10, ntyp = 3
/
ATOMIC_SPECIES
Mo 95.94 Mo.upf
Au 196.97 Au.upf
Cd 112.41 Cd.upf
ATOMIC_POSITIONS crystal
Mo 0.397 0.897 0.000
Mo 0.897 0.603 0.000
Mo 0.603 0.103 0.000
Mo 0.103 0.397 0.000
Au 0.190 0.690 0.500
Au 0.690 0.810 0.500
Au 0.810 0.310 0.500
Au 0.310 0.190 0.500
Cd 0.000 0.000 0.000
Cd 0.500 0.500 0.000
CELL_PARAMETERS angstrom
-7.002 -2.521 2.281
3.292 -3.722 5.991
-0.344 2.570 1.785
```



B.
VASP calculation (PBE) on a relaxed structure of CdMo2Au2. Values from VASP.

Structure (Quantum ESPRESSO input):
```
&SYSTEM
  ibrav = 0, nat = 5, ntyp = 3
/
ATOMIC_SPECIES
Mo 95.94 Mo.upf
Au 196.97 Au.upf
Cd 112.41 Cd.upf
ATOMIC_POSITIONS crystal
Mo 0.407 0.407 0.187
Mo 0.593 0.593 0.813
Au 0.750 0.250 0.500
Au 0.250 0.750 0.500
Cd 0.000 0.000 0.000
CELL_PARAMETERS angstrom
4.127 0.000 0.000
0.000 4.127 0.000
2.063 2.063 5.854
```



Result of the stability comparison: B is the least stable of them.



A.
VASP calculation (PBE) on a relaxed structure of CdMoAu. Values from VASP.

Structure (Quantum ESPRESSO input):
```
&SYSTEM
  ibrav = 0, nat = 3, ntyp = 3
/
ATOMIC_SPECIES
Au 196.97 Au.upf
Cd 112.41 Cd.upf
Mo 95.94 Mo.upf
ATOMIC_POSITIONS crystal
Au 0.007 0.007 0.993
Cd 0.331 0.331 0.669
Mo 0.662 0.662 0.338
CELL_PARAMETERS angstrom
6.970 0.021 -0.022
6.388 2.787 0.005
0.582 0.093 2.765
```



B.
VASP calculation (PBE) on a relaxed structure of CdMoAu. Values from VASP.

Structure (Quantum ESPRESSO input):
```
&SYSTEM
  ibrav = 0, nat = 3, ntyp = 3
/
ATOMIC_SPECIES
Au 196.97 Au.upf
Cd 112.41 Cd.upf
Mo 95.94 Mo.upf
ATOMIC_POSITIONS crystal
Au 0.000 0.000 0.990
Cd 0.667 0.333 0.335
Mo 0.333 0.667 0.675
CELL_PARAMETERS angstrom
2.903 0.000 0.000
-1.451 2.514 0.000
0.000 0.000 7.341
```



C.
VASP calculation (PBE) on a relaxed structure of CdMoAu. Values from VASP.

Structure (Quantum ESPRESSO input):
```
&SYSTEM
  ibrav = 0, nat = 3, ntyp = 3
/
ATOMIC_SPECIES
Au 196.97 Au.upf
Cd 112.41 Cd.upf
Mo 95.94 Mo.upf
ATOMIC_POSITIONS crystal
Au 0.750 0.750 0.750
Cd 0.000 0.000 0.000
Mo 0.500 0.500 0.500
CELL_PARAMETERS angstrom
4.462 0.000 0.000
2.231 3.864 0.000
2.231 1.288 3.643
```



Result of the stability comparison: C is the least stable of them.



A.
VASP calculation (PBE) on a relaxed structure of CdAu2N. Values from VASP.

Structure (Quantum ESPRESSO input):
```
&SYSTEM
  ibrav = 0, nat = 8, ntyp = 3
/
ATOMIC_SPECIES
N 14.01 N.upf
Au 196.97 Au.upf
Cd 112.41 Cd.upf
ATOMIC_POSITIONS crystal
N 0.500 0.500 0.000
N 0.250 0.750 0.500
Au 0.460 0.125 0.250
Au 0.290 0.625 0.250
Au 0.375 0.540 0.750
Au 0.875 0.710 0.750
Cd 0.000 0.000 0.000
Cd 0.750 0.250 0.500
CELL_PARAMETERS angstrom
-1.491 4.977 -1.255
-5.112 -1.558 -0.106
-3.826 3.031 5.183
```



B.
VASP calculation (PBE) on a relaxed structure of CdAu2N. Values from VASP.

Structure (Quantum ESPRESSO input):
```
&SYSTEM
  ibrav = 0, nat = 4, ntyp = 3
/
ATOMIC_SPECIES
N 14.01 N.upf
Au 196.97 Au.upf
Cd 112.41 Cd.upf
ATOMIC_POSITIONS crystal
N 0.000 0.000 0.000
Au 0.250 0.250 0.250
Au 0.750 0.750 0.750
Cd 0.500 0.500 0.500
CELL_PARAMETERS angstrom
2.396 1.245 3.654
-0.889 3.950 2.061
-1.961 0.033 4.099
```



Result of the stability comparison: B is the least stable of them.



A.
VASP calculation (PBE) on a relaxed structure of Ta2CdAuN. Values from VASP.

Structure (Quantum ESPRESSO input):
```
&SYSTEM
  ibrav = 0, nat = 5, ntyp = 4
/
ATOMIC_SPECIES
N 14.01 N.upf
Cd 112.41 Cd.upf
Au 196.97 Au.upf
Ta 180.95 Ta.upf
ATOMIC_POSITIONS crystal
N 0.000 0.500 0.000
Cd 0.000 0.000 0.000
Au 0.500 0.500 0.500
Ta 0.000 0.000 0.500
Ta 0.500 0.000 0.000
CELL_PARAMETERS angstrom
5.186 0.000 0.000
0.000 3.760 0.000
0.000 0.000 5.186
```



B.
VASP calculation (PBE) on a relaxed structure of Ta2CdAuN. Values from VASP.

Structure (Quantum ESPRESSO input):
```
&SYSTEM
  ibrav = 0, nat = 5, ntyp = 4
/
ATOMIC_SPECIES
N 14.01 N.upf
Cd 112.41 Cd.upf
Au 196.97 Au.upf
Ta 180.95 Ta.upf
ATOMIC_POSITIONS crystal
N 0.000 0.000 0.000
Cd 0.000 0.500 0.000
Au 0.500 0.500 0.500
Ta 0.000 0.000 0.500
Ta 0.500 0.000 0.000
CELL_PARAMETERS angstrom
-1.113 1.886 -3.553
-2.232 -3.924 -1.384
-3.505 1.354 1.816
```



Result of the stability comparison: A is the least stable of them.